# KBa2AlAu

An optimized crystal structure of KBa2AlAu (GGA-PBE, Alexandria via LeMat-Bulk).

Cell lengths 6.5556, 6.5556, 5.0363 Å; angles 90.00, 90.00, 90.00 degrees
Last column: nearest neighbours and their distance in Å.
Element x y z (fractional)
Ba  0.0000  0.5000  0.0000  2 Au 3.28
Au  0.0000  0.0000  0.0000  2 Al 2.52
K  0.5000  0.5000  0.5000  8 Ba 4.13
Ba  0.5000  0.0000  0.0000  2 Au 3.28
Al  0.0000  0.0000  0.5000  2 Au 2.52

Output
* V: 216 Å³/cell
* D(E_F): 1.08 states/eV per atom
* VASP energy: -2.58 eV per atom
* energy of formation from the pure elements: -0.18 eV/atom
* magnetic moment: 0.7 μB/cell

# TmAl3Ir2

An optimized crystal structure of TmAl3Ir2 (GGA-PBE, Alexandria via LeMat-Bulk).

Cell lengths 4.0949, 8.4742, 9.8169 Å; angles 106.27, 90.00, 103.98 degrees
Last column: nearest neighbours and their distance in Å.
Element x y z (fractional)
Al  0.2140  0.4281  0.3958  4 Ir 2.44-2.59, 1 Al 2.70
Al  0.3206  0.6412  0.0338  4 Ir 2.57-2.60, 1 Al 2.76
Al  0.6794  0.3588  0.9662  4 Ir 2.57-2.60, 1 Al 2.76
Ir  0.6369  0.2739  0.4626  7 Al 2.38-2.64
Al  0.0435  0.0869  0.3389  4 Ir 2.51-2.64, 3 Al 2.70-2.80
Ir  0.1883  0.3766  0.1283  6 Al 2.53-2.60
Al  0.5000  0.0000  0.5000  4 Ir 2.38-2.62
Tm  0.8365  0.6729  0.2897  6 Ir 3.11-3.23, 8 Al 3.19-3.47
Ir  0.8117  0.6234  0.8717  6 Al 2.53-2.60
Al  0.7860  0.5719  0.6042  4 Ir 2.44-2.59, 1 Al 2.70
Al  0.3783  0.7566  0.7960  4 Ir 2.48-2.62, 1 Al 2.76
Ir  0.4661  0.9322  0.2222  5 Al 2.51-2.62
Al  0.9565  0.9131  0.6611  4 Ir 2.51-2.64, 3 Al 2.70-2.80
Al  0.6217  0.2434  0.2040  4 Ir 2.48-2.62, 1 Al 2.76
Ir  0.5339  0.0678  0.7778  5 Al 2.51-2.62
Tm  0.1635  0.3271  0.7103  6 Ir 3.11-3.23, 8 Al 3.19-3.47
Ir  0.3631  0.7261  0.5374  7 Al 2.38-2.64
Tm  0.0000  0.0000  0.0000  6 Ir 2.99-3.16, 6 Al 3.15-3.19

Output
* V: 316 Å³/cell
* D(E_F): 0.46 states/eV per atom
* VASP energy: -6.39 eV per atom
* energy of formation from the pure elements: -0.82 eV/atom
* magnetic moment: 0.0 μB/cell

# Be2Ir2Os

An optimized crystal structure of Be2Ir2Os (GGA-PBE, Alexandria via LeMat-Bulk).

Cell lengths 3.8760, 3.8760, 4.9965 Å; angles 67.18, 67.18, 90.00 degrees
Last column: nearest neighbours and their distance in Å.
Element x y z (fractional)
Be  0.3801  0.3801  0.2398  1 Be 2.00, 4 Ir 2.22
Ir  0.2500  0.7500  0.5000  4 Be 2.22
Be  0.6199  0.6199  0.7602  1 Be 2.00, 4 Ir 2.22
Os  0.0000  0.0000  0.0000  8 Ir 2.85, 10 Be 2.92-3.18
Ir  0.7500  0.2500  0.5000  4 Be 2.22

Output
* V: 63 Å³/cell
* D(E_F): 0.69 states/eV per atom
* VASP energy: -7.02 eV per atom
* energy of formation from the pure elements: 0.26 eV/atom
* relative energy among the computed polymorphs: 0.510 eV per atom
* magnetic moment: 0.0 μB/cell

# NaGa12Ag6

An optimized crystal structure of NaGa12Ag6 (GGA-PBE, Alexandria via LeMat-Bulk).

Cell lengths 7.4937, 7.4937, 7.4937 Å; angles 104.31, 104.31, 104.31 degrees
Last column: nearest neighbours and their distance in Å.
Element x y z (fractional)
Ga  0.8693  0.6298  0.6298  4 Ag 2.77-2.91, 4 Ga 2.83-2.84
Ag  0.6987  0.2840  0.6987  8 Ga 2.65-2.91
Ga  0.1089  0.8911  0.5000  3 Ga 2.58-2.84, 2 Ag 2.65
Ga  0.8911  0.5000  0.1089  3 Ga 2.58-2.84, 2 Ag 2.65
Ga  0.6298  0.6298  0.8693  4 Ag 2.77-2.91, 4 Ga 2.83-2.84
Ga  0.8911  0.1089  0.5000  3 Ga 2.58-2.84, 2 Ag 2.65
Ga  0.3702  0.1307  0.3702  4 Ag 2.77-2.91, 4 Ga 2.83-2.84
Na  0.0000  0.0000  0.0000  6 Ga 3.14
Ag  0.7160  0.3013  0.3013  8 Ga 2.65-2.91
Ga  0.1307  0.3702  0.3702  4 Ag 2.77-2.91, 4 Ga 2.83-2.84
Ag  0.2840  0.6987  0.6987  8 Ga 2.65-2.91
Ag  0.3013  0.3013  0.7160  8 Ga 2.65-2.91
Ga  0.6298  0.8693  0.6298  4 Ag 2.77-2.91, 4 Ga 2.83-2.84
Ag  0.3013  0.7160  0.3013  8 Ga 2.65-2.91
Ag  0.6987  0.6987  0.2840  8 Ga 2.65-2.91
Ga  0.1089  0.5000  0.8911  3 Ga 2.58-2.84, 2 Ag 2.65
Ga  0.3702  0.3702  0.1307  4 Ag 2.77-2.91, 4 Ga 2.83-2.84
Ga  0.5000  0.8911  0.1089  3 Ga 2.58-2.84, 2 Ag 2.65
Ga  0.5000  0.1089  0.8911  3 Ga 2.58-2.84, 2 Ag 2.65

Output
* V: 373 Å³/cell
* D(E_F): 0.35 states/eV per atom
* VASP energy: -2.88 eV per atom
* energy of formation from the pure elements: 0.00 eV/atom
* magnetic moment: 0.0 μB/cell

# LiPrSn2Te4

An optimized crystal structure of LiPrSn2Te4 (GGA-PBE, Alexandria via LeMat-Bulk).

Cell lengths 4.5018, 7.9084, 7.7025 Å; angles 71.03, 90.00, 90.00 degrees
Last column: nearest neighbours and their distance in Å.
Element x y z (fractional)
Li  0.5000  0.5000  0.0000  6 Te 3.13-3.15
Te  0.0000  0.7427  0.7560  2 Li 3.15, 1 Pr 3.17, 3 Sn 3.19-3.24
Sn  0.0000  0.0000  0.0000  6 Te 3.19
Te  0.5000  0.7465  0.2458  1 Li 3.13, 3 Sn 3.19-3.23, 2 Pr 3.20
Te  0.0000  0.2573  0.2440  2 Li 3.15, 1 Pr 3.17, 3 Sn 3.19-3.24
Pr  0.0000  0.5000  0.5000  6 Te 3.17-3.20
Sn  0.5000  0.0000  0.5000  6 Te 3.23-3.24
Te  0.5000  0.2535  0.7542  1 Li 3.13, 3 Sn 3.19-3.23, 2 Pr 3.20

Output
* V: 259 Å³/cell
* VASP energy: -4.15 eV per atom
* formation energy (no corrections): -5.96 eV per formula unit
* magnetic moment: 0.0 μB/cell

# CoHg2Se

An optimized crystal structure of CoHg2Se (GGA-PBE, Alexandria via LeMat-Bulk).

Cell lengths 5.2331, 5.2331, 5.2331 Å; angles 131.52, 131.52, 70.98 degrees
Last column: nearest neighbours and their distance in Å.
Element x y z (fractional)
Se  0.5000  0.5000  0.0000  8 Hg 3.03-3.04, 4 Co 3.03
Co  0.7500  0.2500  0.5000  8 Hg 3.03-3.04, 4 Se 3.03
Hg  0.0000  0.0000  0.0000  4 Co 3.03, 4 Hg 3.03, 4 Se 3.04
Hg  0.2500  0.7500  0.5000  4 Hg 3.03, 4 Se 3.03, 4 Co 3.04

Output
* V: 79 Å³/cell
* D(E_F): 1.42 states/eV per atom
* VASP energy: -2.27 eV per atom
* formation energy (no corrections): 2.10 eV per formula unit
* magnetic moment: 1.6 μB/cell

# Tb2PrHgN

An optimized crystal structure of Tb2PrHgN (GGA-PBE, Alexandria via LeMat-Bulk).

Cell lengths 5.0658, 4.8403, 4.8403 Å; angles 90.00, 90.00, 90.00 degrees
Last column: nearest neighbours and their distance in Å.
Element x y z (fractional)
Tb  0.0000  0.0000  0.5000  2 N 2.42
Tb  0.0000  0.5000  0.0000  2 N 2.42
N  0.0000  0.0000  0.0000  4 Tb 2.42, 2 Pr 2.53
Pr  0.5000  0.0000  0.0000  2 N 2.53
Hg  0.5000  0.5000  0.5000  4 Pr 3.42, 8 Tb 3.50

Output
* V: 119 Å³/cell
* D(E_F): 0.92 states/eV per atom
* VASP energy: -5.37 eV per atom
* formation energy (no corrections): -4.16 eV per formula unit
* magnetic moment: 0.0 μB/cell

# B5C7

An optimized crystal structure of B5C7 (GGA-PBE, Alexandria via LeMat-Bulk).

Cell lengths 4.4860, 4.4860, 5.2071 Å; angles 99.11, 99.11, 47.49 degrees
Last column: nearest neighbours and their distance in Å.
Element x y z (fractional)
B  0.7043  0.7090  0.3525  3 C 1.59-1.67, 1 B 1.75
C  0.5568  0.0658  0.9005  2 C 1.54, 2 B 1.59-1.61
B  0.9646  0.9865  0.9872  3 C 1.61-1.65
C  0.5729  0.1600  0.4249  1 C 1.55, 3 B 1.65-1.67
C  0.3372  0.3468  0.6738  4 C 1.54-1.55
C  0.6532  0.6628  0.8262  4 C 1.54-1.55
C  0.8400  0.4271  0.0751  1 C 1.55, 3 B 1.65-1.67
B  0.2910  0.2957  0.1475  3 C 1.59-1.67, 1 B 1.75
B  0.3680  0.6320  0.2500  4 B 1.75-1.92
C  0.9342  0.4432  0.5995  2 C 1.54, 2 B 1.59-1.61
C  0.2643  0.7357  0.7500  2 C 1.54, 2 B 1.63
B  0.0135  0.0354  0.5128  3 C 1.61-1.65

Output
* V: 76 Å³/cell
* D(E_F): 0.21 states/eV per atom
* VASP energy: -7.80 eV per atom
* energy of formation from the pure elements: 0.37 eV/atom
* relative energy among the computed polymorphs: 0.109 eV per atom
* magnetic moment: 0.0 μB/cell